Entry 1:
# SrTeMo2 | Alexandria | PBE | optimized geometry
# * DFT total energy: -5.9143 eV per atom
# * Fermi-level density of states: 2.65 states/eV/f.u.
data_SrTeMo2
_cell_length_a 6.945
_cell_length_b 6.945
_cell_length_c 6.945
_cell_angle_alpha 90.00
_cell_angle_beta 90.00
_cell_angle_gamma 90.00
_space_group_name_H-M_alt 'F -4 3 m'
_space_group_IT_number 216
_space_group_name_Hall 'F -4 2 3'
loop_
_atom_site_label
_atom_site_type_symbol
_atom_site_fract_x
_atom_site_fract_y
_atom_site_fract_z
Sr1 Sr 0.000 0.000 0.000
Te1 Te 0.250 0.250 0.250
Mo1 Mo 0.000 0.000 0.500
Mo2 Mo 0.250 0.250 0.750

=====

Entry 2:
# LiGdDyRh | Alexandria | PBE | optimized geometry
# * Fermi-level density of states: 2.70 states/eV/f.u.
# * ΔE_f: -1.8 eV/f.u.
data_LiGdDyRh
_cell_length_a 7.009
_cell_length_b 7.009
_cell_length_c 7.009
_cell_angle_alpha 90.00
_cell_angle_beta 90.00
_cell_angle_gamma 90.00
_space_group_name_H-M_alt 'F -4 3 m'
_space_group_IT_number 216
_space_group_name_Hall 'F -4 2 3'
loop_
_atom_site_label
_atom_site_type_symbol
_atom_site_fract_x
_atom_site_fract_y
_atom_site_fract_z
Li1 Li 0.000 0.000 0.000
Gd1 Gd 0.250 0.250 0.250
Dy1 Dy 0.250 0.250 0.750
Rh1 Rh 0.000 0.000 0.500

=====

Entry 3:
# GaSnPb3 | Alexandria | PBE | optimized geometry
# * Fermi-level density of states: 2.58 states/eV/f.u.
# * excess energy over the best structure of this formula in the dataset: 0.0000 eV/atom
# * ΔE_f: 0.3 eV/f.u.
data_GaSnPb3
_cell_length_a 8.797
_cell_length_b 5.895
_cell_length_c 11.315
_cell_angle_alpha 90.00
_cell_angle_beta 99.88
_cell_angle_gamma 90.00
_space_group_name_H-M_alt 'P 1 21/c 1'
_space_group_IT_number 14
loop_
_space_group_symop_operation_xyz
'x,y,z'
'-x,-y,-z'
'-x,y+1/2,-z+1/2'
'x,-y+1/2,z+1/2'
loop_
_atom_site_label
_atom_site_type_symbol
_atom_site_fract_x
_atom_site_fract_y
_atom_site_fract_z
Ga1 Ga 0.066 0.135 0.084
Sn1 Sn 0.351 0.513 0.726
Pb1 Pb 0.012 0.106 0.343
Pb2 Pb 0.327 0.504 0.393
Pb3 Pb 0.340 0.503 0.065